8
Lattice="-2.7969 0.2439 -3.3245 0.2136 -2.8968 -3.2400 -6.3972 -6.0758 2.0885" Properties=species:S:1:pos:R:3 comment="NpGa4NiAu2 (PBE, relaxed)" volume_a3_per_cell=142.9 n_ef_per_ev_cell=9.8 dft_energy_ev_per_atom=-4.835 pbc="T T T"
Au -6.6366 -6.4539 -3.4334
Np 0.0000 0.0000 0.0000
Ga -6.1770 -5.9461 -0.9351
Ga -4.1569 -3.9749 0.3578
Au -2.3440 -2.2749 -1.0427
Ga -4.8236 -4.7538 -4.8339
Ni -4.4903 -4.3644 -2.2380
Ga -2.8036 -2.7827 -3.5410